(1)
Entry from Alexandria: Tl12HgBi3 after structural relaxation (PBE).

Output
Magnetic moment = 0.00 μB per formula unit
DOS at the Fermi energy = 6.36 states/eV per cell
Formation enthalpy at 0 K = -0.023 eV/atom
Crystal system = tetragonal

Lattice parameters (Å, degrees): 5.0465 5.0465 19.6991 90.00 90.00 90.00
Closest atoms and distances in Å follow each position.
Fractional coordinates of all 16 atoms:
Tl: 0.0000 0.0000 0.0000  8 Tl 3.53, 4 Bi 3.57
Tl: 0.0000 0.0000 0.2478  8 Tl 3.49-3.54, 4 Bi 3.57
Tl: 0.0000 0.0000 0.5000  8 Tl 3.54, 4 Hg 3.57
Tl: 0.0000 0.0000 0.7522  8 Tl 3.49-3.54, 4 Bi 3.57
Tl: 0.0000 0.5000 0.1251  8 Tl 3.49-3.57, 4 Bi 3.53-3.59
Tl: 0.0000 0.5000 0.3738  2 Bi 3.44, 8 Tl 3.54-3.57, 2 Hg 3.54
Tl: 0.0000 0.5000 0.6262  2 Bi 3.44, 8 Tl 3.54-3.57, 2 Hg 3.54
Tl: 0.0000 0.5000 0.8749  8 Tl 3.49-3.57, 4 Bi 3.53-3.59
Tl: 0.5000 0.0000 0.1251  8 Tl 3.49-3.57, 4 Bi 3.53-3.59
Tl: 0.5000 0.0000 0.3738  2 Bi 3.44, 8 Tl 3.54-3.57, 2 Hg 3.54
Tl: 0.5000 0.0000 0.6262  2 Bi 3.44, 8 Tl 3.54-3.57, 2 Hg 3.54
Tl: 0.5000 0.0000 0.8749  8 Tl 3.49-3.57, 4 Bi 3.53-3.59
Hg: 0.5000 0.5000 0.5000  12 Tl 3.54-3.57
Bi: 0.5000 0.5000 0.0000  12 Tl 3.53-3.57
Bi: 0.5000 0.5000 0.2549  12 Tl 3.44-3.59
Bi: 0.5000 0.5000 0.7451  12 Tl 3.44-3.59


(2)
Entry from Alexandria: Tl7HgBi2 after structural relaxation (PBE).

Output
Magnetic moment = 0.00 μB per formula unit
DOS at the Fermi energy = 7.84 states/eV per cell
Formation enthalpy at 0 K = 0.002 eV/atom
Crystal system = monoclinic

Lattice parameters (Å, degrees): 9.0866 9.0866 10.9728 120.26 120.26 62.66
Closest atoms and distances in Å follow each position.
Fractional coordinates of all 20 atoms:
Tl: 0.0687 0.6504 0.1889  1 Hg 3.22, 3 Bi 3.40-3.50, 2 Tl 3.49-3.56
Tl: 0.1034 0.8966 0.7500  2 Bi 3.44, 6 Tl 3.46-3.73
Tl: 0.1688 0.4497 0.4518  1 Hg 3.19, 3 Bi 3.29-3.50, 2 Tl 3.33-3.57
Tl: 0.2373 0.5910 0.9106  2 Hg 3.30-3.49, 2 Bi 3.39-3.47, 3 Tl 3.46-3.63
Tl: 0.3496 0.9313 0.3111  1 Hg 3.22, 3 Bi 3.40-3.50, 2 Tl 3.49-3.56
Tl: 0.4090 0.7627 0.5894  2 Hg 3.30-3.49, 2 Bi 3.39-3.47, 3 Tl 3.46-3.63
Tl: 0.4497 0.1688 0.9518  1 Hg 3.19, 3 Bi 3.29-3.50, 2 Tl 3.33-3.57
Tl: 0.5503 0.8312 0.0482  1 Hg 3.19, 3 Bi 3.29-3.50, 2 Tl 3.33-3.57
Tl: 0.5910 0.2373 0.4106  2 Hg 3.30-3.49, 2 Bi 3.39-3.47, 3 Tl 3.46-3.63
Tl: 0.6504 0.0687 0.6889  1 Hg 3.22, 3 Bi 3.40-3.50, 2 Tl 3.49-3.56
Tl: 0.7627 0.4090 0.0894  2 Hg 3.30-3.49, 2 Bi 3.39-3.47, 3 Tl 3.46-3.63
Tl: 0.8312 0.5503 0.5482  1 Hg 3.19, 3 Bi 3.29-3.50, 2 Tl 3.33-3.57
Tl: 0.8966 0.1034 0.2500  2 Bi 3.44, 6 Tl 3.46-3.73
Tl: 0.9313 0.3496 0.8111  1 Hg 3.22, 3 Bi 3.40-3.50, 2 Tl 3.49-3.56
Hg: 0.4866 0.5134 0.2500  8 Tl 3.19-3.49
Hg: 0.5134 0.4866 0.7500  8 Tl 3.19-3.49
Bi: 0.1904 0.1974 0.1135  9 Tl 3.29-3.50
Bi: 0.1974 0.1904 0.6135  9 Tl 3.29-3.50
Bi: 0.8026 0.8096 0.3865  9 Tl 3.29-3.50
Bi: 0.8096 0.8026 0.8865  9 Tl 3.29-3.50


(3)
Entry from Alexandria: TlHgBi2 after structural relaxation (PBE).

Output
Magnetic moment = 0.00 μB per formula unit
DOS at the Fermi energy = 3.06 states/eV per cell
Formation enthalpy at 0 K = 0.030 eV/atom
Crystal system = monoclinic

Lattice parameters (Å, degrees): 7.6760 4.2678 8.4621 90.00 115.34 90.00
Closest atoms and distances in Å follow each position.
Fractional coordinates of all 8 atoms:
Tl: 0.0668 0.2500 0.3704  6 Bi 3.47-3.70, 3 Hg 3.50-3.72, 2 Tl 3.51
Tl: 0.9332 0.7500 0.6296  6 Bi 3.47-3.70, 3 Hg 3.50-3.72, 2 Tl 3.51
Hg: 0.3227 0.2500 0.8556  5 Bi 3.34-3.61, 2 Hg 3.50, 3 Tl 3.50-3.72
Hg: 0.6773 0.7500 0.1444  5 Bi 3.34-3.61, 2 Hg 3.50, 3 Tl 3.50-3.72
Bi: 0.1812 0.7500 0.0820  4 Bi 3.30-3.41, 3 Hg 3.34-3.61, 3 Tl 3.47-3.62
Bi: 0.4837 0.7500 0.6349  4 Bi 3.21-3.41, 2 Hg 3.40, 1 Tl 3.47
Bi: 0.5163 0.2500 0.3651  4 Bi 3.21-3.41, 2 Hg 3.40, 1 Tl 3.47
Bi: 0.8188 0.2500 0.9180  4 Bi 3.30-3.41, 3 Hg 3.34-3.61, 3 Tl 3.47-3.62


(4)
Entry from Alexandria: Tl2HgBi after structural relaxation (PBE).

Output
Magnetic moment = 0.00 μB per formula unit
DOS at the Fermi energy = 1.82 states/eV per cell
Formation enthalpy at 0 K = 0.063 eV/atom
Crystal system = trigonal

Lattice parameters (Å, degrees): 8.0025 8.0025 8.0025 33.16 33.16 33.16
Closest atoms and distances in Å follow each position.
Fractional coordinates of all 4 atoms:
Tl: 0.0000 0.0000 0.0000  3 Bi 3.25, 3 Hg 3.29
Tl: 0.1660 0.1660 0.1660  3 Hg 3.21, 3 Bi 3.23
Hg: 0.5802 0.5802 0.5802  6 Tl 3.21-3.29
Bi: 0.7501 0.7501 0.7501  6 Tl 3.23-3.25